A relaxed KLiCuSe2 crystal. Source: the Alexandria database, functional PBE.

Cell: 4.097 4.097 7.279 Å, 106.35 106.35 90.00°
Positions (direct):
Cu: 0.250 0.750 0.500
Se: 0.355 0.355 0.711
Se: 0.645 0.645 0.289
Li: 0.750 0.250 0.500
K: 0.000 0.000 0.000

Properties
Size of the total moment, μB/cell: 0.0
Total DFT energy (no corrections), eV/atom: -3.63
V, Å³ per atom: 22.42



A relaxed KLiCu2Si crystal. Source: the Alexandria database, functional PBE.

Cell: 4.565 5.880 4.565 Å, 90.00 90.00 90.00°
Positions (direct):
K: 0.000 0.500 0.000
Li: 0.500 0.500 0.500
Cu: 0.500 0.000 0.000
Si: 0.000 0.000 0.000
Cu: 0.000 0.000 0.500

Properties
Size of the total moment, μB/cell: 0.0
Total DFT energy (no corrections), eV/atom: -2.91
V, Å³ per atom: 24.50



A relaxed KSr2LiCu crystal. Source: the Alexandria database, functional PBE.

Cell: 6.011 6.011 6.246 Å, 90.00 90.00 90.00°
Positions (direct):
Sr: 0.000 0.500 0.000
K: 0.000 0.000 0.500
Sr: 0.500 0.000 0.000
Cu: 0.000 0.000 0.000
Li: 0.500 0.500 0.500

Properties
Size of the total moment, μB/cell: 0.0
ΔE to the lowest computed polymorph, kJ/mol of formula units: 33
E_form, eV per atom: 0.18
Total DFT energy (no corrections), eV/atom: -1.91
V, Å³ per atom: 45.14